# AcTe

A relaxed AcTe crystal (PBE-GGA, the Alexandria database).

It has space group Pm-3m (No. 221), with a = 4.0654 Å, b = 4.0654 Å, c = 4.0654 Å, α = 90.00°, β = 90.00° and γ = 90.00°. The asymmetric unit holds Ac at (0.0000, 0.0000, 0.0000) and Te at (0.5000, 0.5000, 0.5000).

The value obtained for the formation energy from raw total energies is -1.394 eV per atom. For the relative energy among the computed polymorphs, the calculation gives 97 meV/atom. Its density of states at the Fermi level is 0.81 states/eV per atom. Its total magnetic moment is 0.27 μB/f.u.

# TaCdPt

A relaxed TaCdPt crystal (PBE-GGA, the Alexandria database).

It has space group Cm (No. 8), with a = 14.7198 Å, b = 2.8819 Å, c = 5.0863 Å, α = 90.00°, β = 97.05° and γ = 90.00°. The asymmetric unit holds Ta at (0.0000, 0.0000, 0.0000), Ta at (0.1455, 0.0000, 0.4015), Cd at (0.3202, 0.0000, 0.1149), Cd at (0.3252, 0.5000, 0.6170), Pt at (0.1507, 0.5000, 0.9002) and Pt at (0.4939, 0.0000, 0.4912).

Its density of states at the Fermi level is 0.91 states/eV per atom. Its total magnetic moment is 0.00 μB/f.u. The total energy comes out at -78.0 eV for the cell shown.

# Li2ZnNi

A relaxed Li2ZnNi crystal (PBE-GGA, the Alexandria database).

It has space group Immm (No. 71), with a = 2.7824 Å, b = 4.2228 Å, c = 8.7930 Å, α = 90.00°, β = 90.00° and γ = 90.00°. The asymmetric unit holds Li at (0.0000, 0.0000, 0.2407), Zn at (0.0000, 0.5000, 0.0000) and Ni at (0.0000, 0.5000, 0.5000).

Its density of states at the Fermi level is 0.46 states/eV per atom. Its total magnetic moment is 0.00 μB/f.u. The total energy comes out at -22.7 eV for the cell shown.

# PaAlInSn

A relaxed PaAlInSn crystal (PBE-GGA, the Alexandria database).

It has space group Pmmm (No. 47), with a = 4.4299 Å, b = 4.5865 Å, c = 4.5933 Å, α = 90.00°, β = 90.00° and γ = 90.00°. The asymmetric unit holds Pa at (0.0000, 0.0000, 0.0000), Al at (0.5000, 0.0000, 0.5000), In at (0.0000, 0.5000, 0.5000) and Sn at (0.5000, 0.5000, 0.0000).

Its density of states at the Fermi level is 1.12 states/eV per atom. Its total magnetic moment is 0.00 μB/f.u. The total energy comes out at -20.8 eV for the cell shown.

# Rb2BeClF6

A relaxed Rb2BeClF6 crystal (PBE-GGA, the Alexandria database).

It has space group I4/mmm (No. 139), with a = 6.3761 Å, b = 6.3761 Å, c = 8.3529 Å, α = 90.00°, β = 90.00° and γ = 90.00°. The asymmetric unit holds Rb at (0.0000, 0.5000, 0.2500), Be at (0.0000, 0.0000, 0.0000), Cl at (0.0000, 0.0000, 0.5000), F at (0.0000, 0.0000, 0.2812) and F at (0.1815, 0.1815, 0.0000).

The value obtained for the formation energy from raw total energies is -2.123 eV per atom. Its density of states at the Fermi level is 0.82 states/eV per atom. Its total magnetic moment is 1.00 μB/f.u.

# Sm3Mg4Sc

A relaxed Sm3Mg4Sc crystal (PBE-GGA, the Alexandria database).

It has space group P4/mmm (No. 123), with a = 3.7634 Å, b = 3.7634 Å, c = 15.3356 Å, α = 90.00°, β = 90.00° and γ = 90.00°. The asymmetric unit holds Sm at (0.0000, 0.0000, 0.0000), Sm at (0.0000, 0.0000, 0.2592), Mg at (0.5000, 0.5000, 0.1290), Mg at (0.5000, 0.5000, 0.3906) and Sc at (0.0000, 0.0000, 0.5000).

Its density of states at the Fermi level is 1.25 states/eV per atom. Its total magnetic moment is 0.00 μB/f.u. The total energy comes out at -27.5 eV for the cell shown.

# NaNbZn

A relaxed NaNbZn crystal (PBE-GGA, the Alexandria database).

It has space group Cmcm (No. 63), with a = 4.6751 Å, b = 8.0256 Å, c = 5.7247 Å, α = 90.00°, β = 90.00° and γ = 90.00°. The asymmetric unit holds Na at (0.0000, 0.1600, 0.2500), Nb at (0.0000, 0.1758, 0.7500) and Zn at (0.0000, 0.5000, 0.0000).

For the relative energy among the computed polymorphs, the calculation gives 877 meV/atom. Its density of states at the Fermi level is 0.45 states/eV per atom. Its total magnetic moment is 0.00 μB/f.u.

# YAlIN2

A relaxed YAlIN2 crystal (PBE-GGA, the Alexandria database).

It has space group P4/mmm (No. 123), with a = 4.4348 Å, b = 4.4348 Å, c = 6.3676 Å, α = 90.00°, β = 90.00° and γ = 90.00°. The asymmetric unit holds Y at (0.0000, 0.0000, 0.0000), Al at (0.5000, 0.5000, 0.5000), I at (0.0000, 0.0000, 0.5000) and N at (0.0000, 0.5000, 0.0000).

The value obtained for the formation energy from raw total energies is 0.743 eV per atom. For the relative energy among the computed polymorphs, the calculation gives 446 meV/atom. Its density of states at the Fermi level is 1.06 states/eV per atom. Its total magnetic moment is 0.00 μB/f.u.

# BC5

A relaxed BC5 crystal (PBE-GGA, the Alexandria database).

It has space group P2/m (No. 10), with a = 3.6499 Å, b = 2.5811 Å, c = 7.7487 Å, α = 90.00°, β = 90.82° and γ = 90.00°. The asymmetric unit holds B at (0.1543, 0.0000, 0.1098), C at (0.1244, 0.0000, 0.4195), C at (0.1370, 0.0000, 0.7435), C at (0.3709, 0.5000, 0.4181), C at (0.3779, 0.5000, 0.7435) and C at (0.3800, 0.5000, 0.0789).

For the relative energy among the computed polymorphs, the calculation gives 75 meV/atom. Its density of states at the Fermi level is 0.03 states/eV per atom. Its total magnetic moment is 0.00 μB/f.u.

# Tb2Y7Ho4

A relaxed Tb2Y7Ho4 crystal (PBE-GGA, the Alexandria database).

It has space group P-1 (No. 2), with a = 6.1516 Å, b = 7.9459 Å, c = 9.4114 Å, α = 65.08°, β = 83.79° and γ = 82.56°. The asymmetric unit holds Tb at (0.1538, 0.1913, 0.3848), Y at (0.0000, 0.5000, 0.0000), Y at (0.0771, 0.3459, 0.6923), Y at (0.2322, 0.0383, 0.0769), Y at (0.3860, 0.7315, 0.4619), Ho at (0.3074, 0.8829, 0.7700) and Ho at (0.4603, 0.5756, 0.1535).

Its density of states at the Fermi level is 1.46 states/eV per atom. Its total magnetic moment is 0.00 μB/f.u. The total energy comes out at -72.5 eV for the cell shown.

# LaYPO2

A relaxed LaYPO2 crystal (PBE-GGA, the Alexandria database).

It has space group P4/mmm (No. 123), with a = 4.3560 Å, b = 4.3560 Å, c = 5.3861 Å, α = 90.00°, β = 90.00° and γ = 90.00°. The asymmetric unit holds La at (0.0000, 0.0000, 0.0000), Y at (0.5000, 0.5000, 0.5000), P at (0.5000, 0.5000, 0.0000) and O at (0.0000, 0.5000, 0.5000).

The value obtained for the formation energy from raw total energies is -1.942 eV per atom. For the relative energy among the computed polymorphs, the calculation gives 0 meV/atom. Its density of states at the Fermi level is 0.95 states/eV per atom. Its total magnetic moment is 0.43 μB/f.u.

# InAgSb2Te

A relaxed InAgSb2Te crystal (PBE-GGA, the Alexandria database).

It has space group P4/mmm (No. 123), with a = 5.4056 Å, b = 5.4056 Å, c = 5.6275 Å, α = 90.00°, β = 90.00° and γ = 90.00°. The asymmetric unit holds In at (0.0000, 0.0000, 0.0000), Ag at (0.5000, 0.5000, 0.5000), Sb at (0.0000, 0.5000, 0.5000) and Te at (0.5000, 0.5000, 0.0000).

The value obtained for the formation energy from raw total energies is 0.484 eV per atom. For the relative energy among the computed polymorphs, the calculation gives 0 meV/atom. Its density of states at the Fermi level is 0.88 states/eV per atom. Its total magnetic moment is 0.00 μB/f.u.